No. 1
! PBE CePmCdPt, relaxed; values from VASP
! DFT total energy   -0.1823 Ha/atom
! ΔH_f (0 K)   -12.703 kcal/mol of atoms
! Size of the total moment   1.0 μB per formula unit
&SYSTEM
  ibrav = 0, nat = 4, ntyp = 4
/
ATOMIC_SPECIES
Cd 112.41 Cd.upf
Ce 140.12 Ce.upf
Pt 195.08 Pt.upf
Pm 145.00 Pm.upf
CELL_PARAMETERS angstrom
-0.3123 -3.7144 -3.6554
-0.0653 -5.0318 1.3904
-4.3801 -2.7939 -0.5150
ATOMIC_POSITIONS crystal
Cd 0.7500 0.7500 0.7500
Ce 0.5000 0.5000 0.5000
Pt 0.2500 0.2500 0.2500
Pm 0.0000 0.0000 0.0000



No. 2
! PBE SrLi3Al2, relaxed; values from VASP
! DFT total energy   -0.0952 Ha/atom
! ΔH_f (0 K)   -2.460 kcal/mol of atoms
! Size of the total moment   0.0 μB per formula unit
&SYSTEM
  ibrav = 0, nat = 12, ntyp = 3
/
ATOMIC_SPECIES
Sr 87.62 Sr.upf
Li 6.94 Li.upf
Al 26.98 Al.upf
CELL_PARAMETERS angstrom
-1.9868 -1.8935 -4.8319
6.4189 0.2843 -2.7508
0.3333 -6.5455 2.4281
ATOMIC_POSITIONS crystal
Sr 0.2500 0.3241 0.3241
Sr 0.7500 0.6759 0.6759
Li 0.7500 0.4531 0.0666
Li 0.7500 0.0666 0.4531
Li 0.2500 0.5469 0.9334
Li 0.7500 0.0395 0.0395
Li 0.2500 0.9605 0.9605
Li 0.2500 0.9334 0.5469
Al 0.5000 0.7734 0.2266
Al 0.0000 0.7734 0.2266
Al 0.0000 0.2266 0.7734
Al 0.5000 0.2266 0.7734



No. 3
! PBE NaDyGeO4, relaxed; values from VASP
! DFT total energy   -0.2447 Ha/atom
! E_form (uncorrected)   -2.321 eV per atom
! Size of the total moment   0.0 μB per formula unit
&SYSTEM
  ibrav = 0, nat = 14, ntyp = 4
/
ATOMIC_SPECIES
Na 22.99 Na.upf
Dy 162.50 Dy.upf
Ge 72.64 Ge.upf
O 16.00 O.upf
CELL_PARAMETERS angstrom
6.0355 0.0000 0.0000
3.0177 5.5725 -0.1425
3.0177 1.5620 5.3510
ATOMIC_POSITIONS crystal
Na 0.5000 0.0000 0.5000
Na 0.0000 0.0000 0.5000
Dy 0.0000 0.0000 0.0000
Dy 0.0000 0.5000 0.5000
Ge 0.6331 0.6169 0.1169
Ge 0.3669 0.3831 0.8831
O 0.7440 0.7246 0.7874
O 0.2560 0.7126 0.7754
O 0.7440 0.2874 0.2246
O 0.2560 0.2754 0.2126
O 0.2648 0.7409 0.2409
O 0.7534 0.7409 0.2409
O 0.2466 0.2591 0.7591
O 0.7352 0.2591 0.7591



No. 4
! PBE BaTaCu2, relaxed; values from VASP
! DFT total energy   -0.1817 Ha/atom
! ΔH_f (0 K)   12.649 kcal/mol of atoms
! Size of the total moment   0.9 μB per formula unit
&SYSTEM
  ibrav = 0, nat = 4, ntyp = 3
/
ATOMIC_SPECIES
Ba 137.33 Ba.upf
Cu 63.55 Cu.upf
Ta 180.95 Ta.upf
CELL_PARAMETERS angstrom
-0.7557 3.7920 -1.7017
-0.8711 -1.4049 -2.7436
-6.7161 -1.0179 0.7140
ATOMIC_POSITIONS crystal
Ba 0.5000 0.8009 0.7856
Cu 0.0000 0.1574 0.0648
Cu 0.5000 0.0418 0.2803
Ta 0.0000 0.4999 0.3692



No. 5
! PBE Ca4SbAsBr2, relaxed; values from VASP
! DFT total energy   -0.1457 Ha/atom
! E_form (uncorrected)   -1.448 eV per atom
! Size of the total moment   0.0 μB per formula unit
&SYSTEM
  ibrav = 0, nat = 8, ntyp = 4
/
ATOMIC_SPECIES
Ca 40.08 Ca.upf
Sb 121.76 Sb.upf
As 74.92 As.upf
Br 79.90 Br.upf
CELL_PARAMETERS angstrom
-3.9752 1.4758 1.3305
-3.0556 -6.7827 -1.6060
0.3736 -4.5956 6.2137
ATOMIC_POSITIONS crystal
Ca 0.0000 0.7156 0.7490
Ca 0.0000 0.2844 0.2510
Ca 0.5000 0.7112 0.2723
Ca 0.5000 0.2888 0.7277
Sb 0.5000 0.5000 0.0000
As 0.0000 0.5000 0.5000
Br 0.0000 0.0000 0.0000
Br 0.5000 0.0000 0.5000



No. 6
! PBE Mn2NbBiPt, relaxed; values from VASP
! DFT total energy   -0.2362 Ha/atom
! ΔH_f (0 K)   28.568 kcal/mol of atoms
! Size of the total moment   5.5 μB per formula unit
&SYSTEM
  ibrav = 0, nat = 5, ntyp = 4
/
ATOMIC_SPECIES
Nb 92.91 Nb.upf
Mn 54.94 Mn.upf
Bi 208.98 Bi.upf
Pt 195.08 Pt.upf
CELL_PARAMETERS angstrom
-0.0777 -4.3930 1.4495
1.1668 -1.6640 -4.9806
4.5158 0.2425 0.9769
ATOMIC_POSITIONS crystal
Nb 0.0000 0.0000 0.0000
Mn 0.0000 0.0000 0.5000
Mn 0.5000 0.0000 0.0000
Bi 0.0000 0.5000 0.0000
Pt 0.5000 0.5000 0.5000



No. 7
! PBE Na4ThNp3S8, relaxed; values from VASP
! DFT total energy   -0.2471 Ha/atom
! E_form (uncorrected)   -1.440 eV per atom
! Size of the total moment   13.0 μB per formula unit
&SYSTEM
  ibrav = 0, nat = 16, ntyp = 4
/
ATOMIC_SPECIES
Na 22.99 Na.upf
Th 232.04 Th.upf
Np 237.00 Np.upf
S 32.06 S.upf
CELL_PARAMETERS angstrom
8.0765 0.0000 0.0000
0.0000 8.1598 0.0502
-4.0382 -4.0333 5.7139
ATOMIC_POSITIONS crystal
Na 0.5000 0.0000 0.0000
Na 0.5000 0.0000 0.5000
Na 0.0000 0.0000 0.0000
Na 0.0000 0.0000 0.5000
Th 0.0000 0.5000 0.0000
Np 0.5000 0.5000 0.0000
Np 0.5000 0.5000 0.5000
Np 0.0000 0.5000 0.5000
S 0.2448 0.7327 0.9879
S 0.2449 0.7326 0.4898
S 0.2588 0.2767 0.5176
S 0.7431 0.7327 0.9879
S 0.2569 0.2673 0.0121
S 0.7412 0.7233 0.4824
S 0.7551 0.2674 0.5102
S 0.7552 0.2673 0.0121



No. 8
! PBE TcGeP2Pb, relaxed; values from VASP
! DFT total energy   -0.1463 Ha/atom
! ΔH_f (0 K)   44.321 kcal/mol of atoms
! Size of the total moment   3.3 μB per formula unit
&SYSTEM
  ibrav = 0, nat = 5, ntyp = 4
/
ATOMIC_SPECIES
Pb 207.20 Pb.upf
P 30.97 P.upf
Ge 72.64 Ge.upf
Tc 98.00 Tc.upf
CELL_PARAMETERS angstrom
-1.2763 2.3237 4.4084
-5.0178 0.3515 -1.6380
-1.0124 -4.5767 2.1193
ATOMIC_POSITIONS crystal
Pb 0.0000 0.0000 0.0000
P 0.0000 0.0000 0.5000
P 0.5000 0.0000 0.0000
Ge 0.0000 0.5000 0.0000
Tc 0.5000 0.5000 0.5000



No. 9
! PBE BC2, relaxed; values from VASP
! DFT total energy   -0.2937 Ha/atom
! ΔH_f (0 K)   8.831 kcal/mol of atoms
! Size of the total moment   0.0 μB per formula unit
&SYSTEM
  ibrav = 0, nat = 12, ntyp = 2
/
ATOMIC_SPECIES
B 10.81 B.upf
C 12.01 C.upf
CELL_PARAMETERS angstrom
4.4636 0.0955 -0.7265
-2.3429 3.8005 -0.7265
0.0117 0.0216 4.4192
ATOMIC_POSITIONS crystal
B 0.1840 0.8530 0.4890
B 0.5196 0.5174 0.4890
B 0.3678 0.7011 0.0610
B 0.1651 0.4985 0.6608
C 0.0182 0.6991 0.0952
C 0.3658 0.3515 0.0952
C 0.8288 0.1622 0.4996
C 0.7260 0.0593 0.1311
C 0.6674 0.3319 0.9906
C 0.5411 0.2009 0.6240
C 0.9986 0.0008 0.9906
C 0.8676 0.8745 0.6240



No. 10
! PBE Sr3Zn2Cd9, relaxed; values from VASP
! DFT total energy   -0.0504 Ha/atom
! ΔH_f (0 K)   -5.525 kcal/mol of atoms
! Size of the total moment   0.0 μB per formula unit
&SYSTEM
  ibrav = 0, nat = 14, ntyp = 3
/
ATOMIC_SPECIES
Sr 87.62 Sr.upf
Zn 65.41 Zn.upf
Cd 112.41 Cd.upf
CELL_PARAMETERS angstrom
4.7071 0.0000 1.2643
1.7262 8.5155 2.9679
0.0599 0.4254 9.1716
ATOMIC_POSITIONS crystal
Sr 0.0000 0.0000 0.0000
Sr 0.6964 0.3036 0.3036
Sr 0.3036 0.6964 0.6964
Zn 0.5000 0.3004 0.6996
Zn 0.5000 0.6996 0.3004
Cd 0.0000 0.5000 0.5000
Cd 0.6615 0.9791 0.6979
Cd 0.3385 0.0209 0.3021
Cd 0.6615 0.6979 0.9791
Cd 0.3385 0.3021 0.0209
Cd 0.8697 0.8451 0.4154
Cd 0.1303 0.1549 0.5846
Cd 0.8697 0.4154 0.8451
Cd 0.1303 0.5846 0.1549



No. 11
! PBE Hf2AgSnOs, relaxed; values from VASP
! DFT total energy   -0.2246 Ha/atom
! ΔH_f (0 K)   34.259 kcal/mol of atoms
! Size of the total moment   0.7 μB per formula unit
&SYSTEM
  ibrav = 0, nat = 5, ntyp = 4
/
ATOMIC_SPECIES
Hf 178.49 Hf.upf
Os 190.23 Os.upf
Sn 118.71 Sn.upf
Ag 107.87 Ag.upf
CELL_PARAMETERS angstrom
5.0287 0.0000 0.0000
0.0000 4.7789 0.0000
0.0000 0.0000 5.0287
ATOMIC_POSITIONS crystal
Hf 0.0000 0.0000 0.5000
Hf 0.5000 0.0000 0.0000
Os 0.5000 0.5000 0.5000
Sn 0.0000 0.5000 0.0000
Ag 0.0000 0.0000 0.0000



No. 12
! PBE AlPtN2, relaxed; values from VASP
! DFT total energy   -0.2428 Ha/atom
! E_form (uncorrected)   0.001 eV per atom
! Size of the total moment   0.0 μB per formula unit
&SYSTEM
  ibrav = 0, nat = 8, ntyp = 3
/
ATOMIC_SPECIES
Al 26.98 Al.upf
Pt 195.08 Pt.upf
N 14.01 N.upf
CELL_PARAMETERS angstrom
-1.4954 -4.0743 -1.5737
2.0316 -2.1213 3.5616
-3.4970 -2.6488 3.4092
ATOMIC_POSITIONS crystal
Al 0.5000 0.5000 0.0000
Al 0.2500 0.7500 0.5000
Pt 0.0000 0.0000 0.0000
Pt 0.7500 0.2500 0.5000
N 0.5849 0.1250 0.2500
N 0.1651 0.6250 0.2500
N 0.3750 0.4151 0.7500
N 0.8750 0.8349 0.7500